Computed, not measured: a PBEsol-optimized structure of NbFeSe3 at the meta-GGA SCAN level of DFT.

Computed properties:
VASP energy: -21.885 eV/atom
Formation energy from raw total energies: 0.413 eV/atom
Volume: 94.3 Å³ per cell

a b c (Å): 4.552 4.552 4.552
angles (deg): 90.00 90.00 90.00
Fractional coordinates of all 5 atoms:
Nb 0.000 0.000 0.000
Fe 0.500 0.500 0.500
Se 0.000 0.500 0.500
Se 0.500 0.000 0.500
Se 0.500 0.500 0.000